Entry 1:
PBE TbThIrRu, relaxed; crystal system = cubic; energy relative to the elements = -0.585 eV/atom; space group = F-43m
1.0
0.000 3.504 3.504
3.504 0.000 3.504
3.504 3.504 0.000
Tb Th Ir Ru
1 1 1 1
direct
0.000 0.000 0.000
0.500 0.500 0.500
0.750 0.750 0.750
0.250 0.250 0.250

Entry 2:
PBE CsGeCl3, relaxed; crystal system = orthorhombic; E_form (uncorrected) = -6.6 eV/f.u.; space group = C222_1
1.0
3.644 -6.558 0.000
3.644 6.558 0.000
0.000 0.000 7.334
Cs Ge Cl
2 2 6
direct
0.167 0.833 0.750
0.833 0.167 0.250
0.479 0.479 0.500
0.521 0.521 0.000
0.163 0.342 0.673
0.342 0.163 0.327
0.347 0.653 0.250
0.653 0.347 0.750
0.658 0.837 0.827
0.837 0.658 0.173

Entry 3:
PBE SrMg2NbIr, relaxed; crystal system = tetragonal; energy relative to the elements = 2.299 eV/atom; space group = P4/mmm
1.0
5.049 0.000 0.000
0.000 5.049 0.000
0.000 0.000 4.870
Sr Mg Nb Ir
1 2 1 1
direct
0.000 0.000 0.000
0.000 0.500 0.000
0.500 0.000 0.000
0.000 0.000 0.500
0.500 0.500 0.500

Entry 4:
PBE NaICl3, relaxed; crystal system = triclinic; E_form (uncorrected) = -3.9 eV/f.u.; space group = P-1
1.0
5.541 0.000 0.000
-1.899 7.107 0.000
-0.275 -3.378 8.431
Na I Cl
2 2 6
direct
0.193 0.254 0.434
0.807 0.746 0.566
0.103 0.562 0.177
0.897 0.438 0.823
0.111 0.157 0.725
0.292 0.683 0.507
0.311 0.287 0.124
0.689 0.713 0.876
0.708 0.317 0.493
0.889 0.843 0.275

Entry 5:
PBE Be3HS, relaxed; crystal system = cubic; E = -15.5 eV for the cell shown; space group = Pm-3m
1.0
3.564 0.000 0.000
0.000 3.564 0.000
0.000 0.000 3.564
Be H S
3 1 1
direct
0.000 0.000 0.500
0.000 0.500 0.000
0.500 0.000 0.000
0.000 0.000 0.000
0.500 0.500 0.500

Entry 6:
PBE Ba2HfB, relaxed; crystal system = cubic; energy relative to the elements = 1.360 eV/atom; space group = Fm-3m
1.0
0.000 3.924 3.924
3.924 0.000 3.924
3.924 3.924 0.000
Ba Hf B
2 1 1
direct
0.250 0.250 0.250
0.750 0.750 0.750
0.000 0.000 0.000
0.500 0.500 0.500